Pr4Nd2Sc3 | PBE-GGA | relaxed

```
data_Pr4Nd2Sc3
_chemical_formula_sum 'Pr8 Nd4 Sc6'
_space_group_name_H-M_alt 'C 1 2/m 1'
_space_group_IT_number 12
_cell_length_a 11.226
_cell_length_b 5.049
_cell_length_c 10.628
_cell_angle_alpha 90.00
_cell_angle_beta 108.39
_cell_angle_gamma 90.00
loop_
_space_group_symop_operation_xyz
'x,y,z'
'-x,-y,-z'
'-x,y,-z'
'x,-y,z'
'x+1/2,y+1/2,z'
'-x+1/2,-y+1/2,-z'
'-x+1/2,y+1/2,-z'
'x+1/2,-y+1/2,z'
loop_
_atom_site_label
_atom_site_type_symbol
_atom_site_fract_x
_atom_site_fract_y
_atom_site_fract_z
Pr1 Pr 0.007 0.000 0.338
Pr2 Pr 0.166 0.500 0.887
Nd1 Nd 0.169 0.500 0.228
Sc1 Sc 0.000 0.000 0.000
Sc2 Sc 0.164 0.500 0.551
```

Computed properties:
E_form = 0.055 eV per atom
volume = 31.756 Å³/atom
calculated total energy = -5.239 eV per atom
Fermi-level density of states = 13.39 states/eV/f.u.